Entry 1:
A relaxed structure of LaPmMg, computed with GGA-PBE.

The calculated formation energy is -0.053 eV per atom. Its crystal system is orthorhombic. For the energy above the most stable polymorph in this dataset, the calculation gives 0 meV per atom. Its spin magnetization is 0.004 μB per atom.

The structure belongs to space group Cmcm (No. 63); the cell edges are 5.431, 13.103 and 5.429 Å and the angles 90.00°, 90.00° and 90.00°. The distinct sites, in fractional coordinates, are La at (0.000, 0.091, 0.250), Pm at (0.000, 0.404, 0.250) and Mg at (0.000, 0.249, 0.750).

***

Entry 2:
A relaxed structure of La2PmMg, computed with GGA-PBE.

The calculated formation energy is -0.045 eV per atom. Its crystal system is tetragonal. For the energy above the most stable polymorph in this dataset, the calculation gives 0 meV per atom. Its spin magnetization is 0.000 μB per atom.

The structure belongs to space group I4/mmm (No. 139); the cell edges are 5.367, 5.367 and 18.443 Å and the angles 90.00°, 90.00° and 90.00°. The distinct sites, in fractional coordinates, are La at (0.000, 0.000, 0.135), La at (0.000, 0.500, 0.000), Pm at (0.000, 0.000, 0.361) and Mg at (0.000, 0.500, 0.250).

***

Entry 3:
A relaxed structure of LaPm4Mg, computed with GGA-PBE.

The calculated formation energy is 0.008 eV per atom. Its crystal system is orthorhombic. For the energy above the most stable polymorph in this dataset, the calculation gives 29 meV per atom. Its spin magnetization is 0.000 μB per atom.

The structure belongs to space group Cmc2_1 (No. 36); the cell edges are 5.058, 15.348 and 10.188 Å and the angles 90.00°, 90.00° and 90.00°. The distinct sites, in fractional coordinates, are La at (0.000, 0.169, 0.000), Pm at (0.000, 0.002, 0.748), Pm at (0.000, 0.167, 0.494), Pm at (0.000, 0.333, 0.747), Pm at (0.000, 0.498, 0.998) and Mg at (0.000, 0.334, 0.247).

***

Which formula does entry 2 have?
La2PmMg